[1]
LaPm2Th3 | PBE-GGA | relaxed

```
LaPm2Th3
1.0
-4.603 -1.148 -1.830
0.645 -6.632 -4.524
-3.163 -8.471 6.208
Th La Pm
6 2 4
Direct
0.378 0.628 0.617
0.622 0.372 0.383
0.044 0.294 0.618
0.289 0.040 0.382
0.711 0.960 0.618
0.956 0.706 0.382
0.130 0.878 0.863
0.870 0.122 0.137
0.203 0.456 0.138
0.462 0.214 0.862
0.797 0.544 0.862
0.538 0.786 0.138
```

Symmetry   C2/m, No. 12
N(E_F)   18.4 states/eV/cell
Final energy   -6.09 eV/atom

***

[2]
La8Pm6Th | PBE-GGA | relaxed

```
La8Pm6Th
1.0
8.017 0.106 3.848
2.465 7.629 3.848
0.144 0.106 8.891
Pm La Th
6 8 1
Direct
0.096 0.541 0.245
0.755 0.904 0.459
0.459 0.755 0.904
0.245 0.096 0.541
0.541 0.245 0.096
0.904 0.459 0.755
0.884 0.287 0.244
0.244 0.884 0.287
0.116 0.713 0.756
0.287 0.244 0.884
0.578 0.578 0.578
0.422 0.422 0.422
0.713 0.756 0.116
0.756 0.116 0.713
0.000 0.000 0.000
```

Symmetry   R-3, No. 148
N(E_F)   24.8 states/eV/cell
Final energy   -4.92 eV/atom

***

[3]
La2Pm8Th | PBE-GGA | relaxed

```
La2Pm8Th
1.0
-3.059 3.367 -2.469
-6.032 -1.578 5.321
6.299 5.405 4.992
Pm La Th
8 2 1
Direct
0.679 0.906 0.358
0.321 0.094 0.642
0.589 0.449 0.178
0.411 0.551 0.822
0.957 0.267 0.913
0.133 0.174 0.266
0.043 0.733 0.087
0.867 0.826 0.734
0.228 0.636 0.456
0.772 0.364 0.544
0.500 0.000 0.000
```

Symmetry   C2/m, No. 12
N(E_F)   18.0 states/eV/cell
Final energy   -5.00 eV/atom

***

[4]
La3PmTh | PBE-GGA | relaxed

```
La3PmTh
1.0
7.093 0.000 0.000
0.000 6.988 0.000
0.000 0.000 14.276
Pm La Th
4 12 4
Direct
0.250 0.982 0.694
0.750 0.018 0.306
0.250 0.482 0.306
0.750 0.518 0.694
0.750 0.015 0.701
0.750 0.758 0.079
0.250 0.242 0.921
0.750 0.515 0.299
0.500 0.750 0.507
0.250 0.742 0.079
0.250 0.485 0.701
0.000 0.250 0.493
0.500 0.250 0.493
0.750 0.258 0.921
0.250 0.985 0.299
0.000 0.750 0.507
0.000 0.250 0.120
0.500 0.750 0.880
0.000 0.750 0.880
0.500 0.250 0.120
```

Symmetry   Pbcm, No. 57
N(E_F)   33.9 states/eV/cell
E above lowest polymorph   98 meV per atom
Final energy   -5.28 eV/atom

***

[5]
La5Pm12Th2 | PBE-GGA | relaxed

```
La5Pm12Th2
1.0
7.295 0.000 0.000
-3.648 10.061 -10.642
0.000 -6.023 15.494
Th Pm La
2 12 5
Direct
0.750 0.000 0.000
0.250 0.000 0.000
0.986 0.445 0.051
0.040 0.080 0.890
0.555 0.598 0.386
0.014 0.555 0.949
0.445 0.402 0.614
0.541 0.082 0.887
0.960 0.920 0.110
0.541 0.555 0.949
0.043 0.598 0.386
0.957 0.402 0.614
0.459 0.918 0.113
0.459 0.445 0.051
0.000 0.000 0.500
0.495 0.991 0.395
0.748 0.497 0.499
0.505 0.009 0.605
0.252 0.503 0.501
```

Symmetry   C2/m, No. 12
N(E_F)   25.6 states/eV/cell
Final energy   -4.98 eV/atom

***

[6]
La5Pm5Th2 | PBE-GGA | relaxed

```
La5Pm5Th2
1.0
-2.773 -4.352 -0.167
0.619 -3.049 -10.627
4.483 -6.044 3.253
La Pm Th
5 5 2
Direct
0.991 0.260 0.757
0.336 0.744 0.584
0.009 0.740 0.243
0.664 0.256 0.416
0.000 0.000 0.000
0.000 0.500 0.500
0.333 0.999 0.335
0.671 0.741 0.916
0.329 0.259 0.084
0.667 0.001 0.665
0.671 0.500 0.158
0.329 0.500 0.842
```

Symmetry   C2/m, No. 12
N(E_F)   20.0 states/eV/cell
Final energy   -5.23 eV/atom

***

[7]
La2Pm4Th | PBE-GGA | relaxed

```
La2Pm4Th
1.0
3.477 0.000 0.000
0.000 5.635 -2.267
0.000 1.519 11.914
Th La Pm
1 2 4
Direct
0.000 0.500 0.000
0.500 0.784 0.568
0.500 0.216 0.432
0.000 0.075 0.151
0.500 0.633 0.265
0.000 0.925 0.849
0.500 0.367 0.735
```

Symmetry   Cmmm, No. 65
N(E_F)   14.2 states/eV/cell
E above lowest polymorph   0 meV per atom
Final energy   -4.97 eV/atom

***

[8]
La12Pm7Th | PBE-GGA | relaxed

```
La12Pm7Th
1.0
9.055 0.445 0.668
-2.090 8.821 0.668
-2.090 -2.781 8.398
Pm La Th
7 12 1
Direct
0.851 0.594 0.851
0.149 0.406 0.149
0.594 0.851 0.851
0.500 0.500 0.500
0.406 0.149 0.149
0.149 0.149 0.406
0.851 0.851 0.594
0.000 0.743 0.257
0.591 0.159 0.591
0.743 0.257 0.000
0.257 0.743 0.000
0.257 0.000 0.743
0.159 0.591 0.591
0.743 0.000 0.257
0.591 0.591 0.159
0.841 0.409 0.409
0.409 0.841 0.409
0.000 0.257 0.743
0.409 0.409 0.841
0.000 0.000 0.000
```

Symmetry   R-3m, No. 166
N(E_F)   26.8 states/eV/cell
E above lowest polymorph   0 meV per atom
Final energy   -4.91 eV/atom